# 1
Below is a relaxed La4SmCd3 crystal, with properties calculated at the PBE level.

Cell lengths 5.5983, 5.5983, 27.8307 Å; angles 90.00, 90.00, 120.00 degrees
Space group R-3m (No. 166, hexagonal axes)
Symmetry-distinct sites (fractional):
La (0.0000, 0.0000, 0.1200) x6
La (0.0000, 0.0000, 0.3717) x6
Sm (0.0000, 0.0000, 0.5000) x3
Cd (0.0000, 0.0000, 0.0000) x3
Cd (0.0000, 0.0000, 0.2442) x6

Theoretical density = 6.88 g/cm³
Formation enthalpy at 0 K = -194 meV/atom
Crystal system = trigonal
D(E_F) = 1.339 states/eV/atom

# 2
Below is a relaxed BaLi3Sc crystal, with properties calculated at the PBE level.

Cell lengths 5.344, 5.344, 5.344 Å; angles 90.00, 90.00, 90.00 degrees
Space group Pm-3m (No. 221)
Symmetry-distinct sites (fractional):
Ba (0.000, 0.000, 0.000) x1
Li (0.000, 0.000, 0.500) x3
Sc (0.500, 0.500, 0.500) x1

Theoretical density = 2.21 g/cm³
Formation enthalpy at 0 K = 990 meV/atom
Crystal system = cubic
D(E_F) = 2.136 states/eV/atom
Energy above the lowest structure with this stoichiometry = 438 meV/atom

# 3
Below is a relaxed Ac6MgCd5 crystal, with properties calculated at the PBE level.

Cell lengths 5.766, 8.176, 17.314 Å; angles 90.00, 90.00, 90.00 degrees
Space group Immm (No. 71)
Symmetry-distinct sites (fractional):
Ac (0.000, 0.247, 0.000) x4
Ac (0.000, 0.251, 0.332) x8
Mg (0.000, 0.000, 0.500) x2
Cd (0.000, 0.000, 0.166) x4
Cd (0.000, 0.500, 0.162) x4
Cd (0.000, 0.500, 0.500) x2

Theoretical density = 7.93 g/cm³
Formation enthalpy at 0 K = -260 meV/atom
Crystal system = orthorhombic
D(E_F) = 1.175 states/eV/atom

# 4
Below is a relaxed Eu2AgGe crystal, with properties calculated at the PBE level.

Cell lengths 5.401, 5.401, 3.651 Å; angles 90.00, 90.00, 90.00 degrees
Space group P4/mmm (No. 123)
Symmetry-distinct sites (fractional):
Eu (0.000, 0.500, 0.000) x2
Ag (0.000, 0.000, 0.500) x1
Ge (0.500, 0.500, 0.500) x1

Theoretical density = 7.55 g/cm³
Formation enthalpy at 0 K = -462 meV/atom
Crystal system = tetragonal
D(E_F) = 3.988 states/eV/atom
Energy above the lowest structure with this stoichiometry = 15 meV/atom

# 5
Below is a relaxed Ac5Bi2O12 crystal, with properties calculated at the PBE level.

Cell lengths 13.623, 6.590, 8.164 Å; angles 90.00, 107.37, 90.00 degrees
Space group C2/m (No. 12)
Symmetry-distinct sites (fractional):
Ac (0.000, 0.000, 0.000) x2
Ac (0.196, 0.500, 0.331) x4
Ac (0.197, 0.500, 0.863) x4
Bi (0.000, 0.244, 0.500) x4
O (0.001, 0.500, 0.318) x4
O (0.002, 0.000, 0.685) x4
O (0.155, 0.248, 0.077) x8
O (0.166, 0.269, 0.583) x8

Theoretical density = 8.28 g/cm³
Raw formation energy = -2.5793 eV/atom
Crystal system = monoclinic
D(E_F) = 0.162 states/eV/atom

# 6
Below is a relaxed TlPb2Se crystal, with properties calculated at the PBE level.

Cell lengths 4.219, 4.219, 7.087 Å; angles 90.00, 90.00, 90.00 degrees
Space group P4mm (No. 99)
Symmetry-distinct sites (fractional):
Tl (0.000, 0.000, 0.000) x1
Pb (0.000, 0.000, 0.529) x1
Pb (0.500, 0.500, 0.239) x1
Se (0.500, 0.500, 0.651) x1

Theoretical density = 9.18 g/cm³
Raw formation energy = -0.1524 eV/atom
Crystal system = tetragonal
D(E_F) = 0.378 states/eV/atom
Energy above the lowest structure with this stoichiometry = 0 meV/atom

# 7
Below is a relaxed TbCeSn2 crystal, with properties calculated at the PBE level.

Cell lengths 4.369, 4.591, 11.597 Å; angles 90.00, 90.00, 90.00 degrees
Space group Amm2 (No. 38)
Symmetry-distinct sites (fractional):
Tb (0.000, 0.000, 0.000) x2
Ce (0.500, 0.000, 0.732) x2
Sn (0.000, 0.000, 0.274) x2
Sn (0.500, 0.000, 0.458) x2

Theoretical density = 7.66 g/cm³
Formation enthalpy at 0 K = -657 meV/atom
Crystal system = orthorhombic
D(E_F) = 1.977 states/eV/atom

# 8
Below is a relaxed CoSb2TeBr crystal, with properties calculated at the PBE level.

Cell lengths 5.080, 5.080, 5.005 Å; angles 90.00, 90.00, 90.00 degrees
Space group P4/mmm (No. 123)
Symmetry-distinct sites (fractional):
Co (0.000, 0.000, 0.000) x1
Sb (0.000, 0.500, 0.000) x2
Te (0.000, 0.000, 0.500) x1
Br (0.500, 0.500, 0.500) x1

Theoretical density = 6.56 g/cm³
Raw formation energy = 0.2872 eV/atom
Crystal system = tetragonal
D(E_F) = 1.338 states/eV/atom
Energy above the lowest structure with this stoichiometry = 0 meV/atom

# 9
Below is a relaxed La2Tb5Y2 crystal, with properties calculated at the PBE level.

Cell lengths 21.864, 3.513, 8.343 Å; angles 90.00, 100.19, 90.00 degrees
Space group C2/m (No. 12)
Symmetry-distinct sites (fractional):
La (0.181, 0.000, 0.145) x4
Tb (0.000, 0.000, 0.000) x2
Tb (0.096, 0.000, 0.735) x4
Tb (0.191, 0.500, 0.533) x4
Y (0.047, 0.500, 0.358) x4

Theoretical density = 6.58 g/cm³
Formation enthalpy at 0 K = 213 meV/atom
Crystal system = monoclinic
D(E_F) = 1.508 states/eV/atom
Energy above the lowest structure with this stoichiometry = 16 meV/atom

# 10
Below is a relaxed Ca2PrPbS4 crystal, with properties calculated at the PBE level.

Cell lengths 7.139, 4.072, 7.165 Å; angles 90.00, 109.20, 90.00 degrees
Space group P2/m (No. 10)
Symmetry-distinct sites (fractional):
Ca (0.000, 0.000, 0.000) x1
Ca (0.000, 0.500, 0.500) x1
Pr (0.500, 0.000, 0.500) x1
Pb (0.500, 0.500, 0.000) x1
S (0.238, 0.000, 0.740) x2
S (0.239, 0.500, 0.249) x2

Theoretical density = 4.70 g/cm³
Raw formation energy = -1.6477 eV/atom
Crystal system = monoclinic
D(E_F) = 0.390 states/eV/atom

# 11
Below is a relaxed YNb2Ga2 crystal, with properties calculated at the PBE level.

Cell lengths 8.160, 8.160, 2.915 Å; angles 90.00, 90.00, 90.00 degrees
Space group P4/mbm (No. 127)
Symmetry-distinct sites (fractional):
Y (0.000, 0.000, 0.000) x2
Nb (0.116, 0.384, 0.000) x4
Ga (0.178, 0.678, 0.500) x4

Theoretical density = 7.08 g/cm³
Formation enthalpy at 0 K = -184 meV/atom
Crystal system = tetragonal
D(E_F) = 0.728 states/eV/atom
Energy above the lowest structure with this stoichiometry = 212 meV/atom

# 12
Below is a relaxed YScTe crystal, with properties calculated at the PBE level.

Cell lengths 4.245, 4.245, 8.404 Å; angles 90.00, 90.00, 90.00 degrees
Space group P4/nmm (No. 129, origin choice 2)
Symmetry-distinct sites (fractional):
Y (0.250, 0.250, 0.137) x2
Sc (0.250, 0.750, 0.500) x2
Te (0.250, 0.250, 0.759) x2

Theoretical density = 5.73 g/cm³
Raw formation energy = -0.8947 eV/atom
Crystal system = tetragonal
D(E_F) = 0.642 states/eV/atom
Energy above the lowest structure with this stoichiometry = 0 meV/atom